Record 1
A relaxed structure of LaCoS2, computed with PBE.

Lattice parameters (Å, degrees): 7.4252 7.4252 7.4252 34.97 34.97 34.97
Last column: nearest neighbours and their distance in Å.
Fractional positions:
S  0.8970  0.8970  0.8970  1 Co 2.15
S  0.1030  0.1030  0.1030  1 Co 2.15
Co  0.0000  0.0000  0.0000  2 S 2.15
La  0.5000  0.5000  0.5000  6 S 2.90

Results
V: 120.1 Å³/cell
energy above the lowest structure with this stoichiometry: 38 meV per atom
formation energy from raw total energies: -994 meV/atom
M_tot: 0.500 μB per atom



Record 2
A relaxed structure of VGaSiN2, computed with PBE.

Lattice parameters (Å, degrees): 3.7242 5.0936 3.7242 90.00 90.00 90.00
Last column: nearest neighbours and their distance in Å.
Fractional positions:
Si  0.0000  0.5000  0.0000  2 Ga 2.55, 4 V 2.63
N  0.0000  0.0000  0.5000  2 Ga 1.86
N  0.5000  0.0000  0.0000  2 Ga 1.86
Ga  0.0000  0.0000  0.0000  4 N 1.86
V  0.5000  0.5000  0.5000  4 Si 2.63

Results
V: 70.6 Å³/cell
formation energy from raw total energies: 1511 meV/atom
M_tot: 0.000 μB per atom



Record 3
A relaxed structure of Zr4N2O5, computed with PBE.

Lattice parameters (Å, degrees): 8.8725 8.8959 8.9036 109.32 109.54 109.26
Last column: nearest neighbours and their distance in Å.
Fractional positions:
Zr  0.5243  0.7937  0.7940  5 O 2.15-2.33, 2 N 2.16-2.22
Zr  0.2571  0.5080  0.2981  6 O 2.16-2.23, 1 N 2.23
Zr  0.5432  0.5020  0.0356  3 N 2.10-2.18, 3 O 2.17-2.26
Zr  0.7414  0.7402  0.5252  2 N 2.11-2.26, 5 O 2.16-2.34
Zr  0.2882  0.0471  0.7972  2 N 2.14-2.24, 5 O 2.16-2.29
Zr  0.0007  0.0064  0.0010  2 N 2.21-2.23, 6 O 2.21-2.46
Zr  0.7746  0.2596  0.9870  5 O 2.13-2.37, 2 N 2.17-2.22
Zr  0.0126  0.7316  0.2199  5 O 2.11-2.33, 2 N 2.17-2.20
Zr  0.2255  0.2169  0.4989  2 N 2.17-2.24, 5 O 2.17-2.28
Zr  0.7578  0.9579  0.2491  4 O 2.16-2.32, 3 N 2.18-2.28
Zr  0.4927  0.9872  0.4940  7 O 2.18-2.35, 1 N 2.22
Zr  0.9926  0.2070  0.7224  4 O 2.15-2.30, 3 N 2.19-2.29
Zr  0.2853  0.7860  0.0236  2 N 2.14-2.23, 5 O 2.17-2.32
Zr  0.7946  0.4971  0.7536  2 N 2.16-2.24, 5 O 2.17-2.30
Zr  0.5000  0.2680  0.2853  6 O 2.15-2.25, 1 N 2.22
Zr  0.0357  0.4939  0.5429  2 N 2.08-2.16, 4 O 2.14-2.25
N  0.9992  0.9690  0.7404  4 Zr 2.11-2.24
N  0.2878  0.2831  0.7852  4 Zr 2.14-2.29
N  0.2661  0.7331  0.2356  4 Zr 2.14-2.23
N  0.7549  0.5005  0.9810  4 Zr 2.10-2.22
N  0.5013  0.7196  0.0031  4 Zr 2.18-2.23
N  0.9793  0.2272  0.4803  4 Zr 2.08-2.19
N  0.7826  0.4969  0.4986  4 Zr 2.16-2.26
N  0.7725  0.0331  0.0314  4 Zr 2.16-2.28
O  0.2507  0.7693  0.7478  4 Zr 2.14-2.32
O  0.2761  0.0278  0.0284  4 Zr 2.16-2.31
O  0.7988  0.7372  0.2989  4 Zr 2.23-2.26
O  0.5609  0.2643  0.0634  4 Zr 2.21-2.29
O  0.0047  0.4996  0.2889  4 Zr 2.19-2.37
O  0.5009  0.7586  0.5298  4 Zr 2.17-2.21
O  0.2266  0.9636  0.5054  4 Zr 2.25-2.34
O  0.7289  0.9639  0.4853  4 Zr 2.16-2.22
O  0.4772  0.4997  0.2494  4 Zr 2.16-2.34
O  0.5174  0.0291  0.7634  4 Zr 2.13-2.22
O  0.0031  0.9714  0.2420  4 Zr 2.11-2.26
O  0.0436  0.2894  0.0101  4 Zr 2.23-2.39
O  0.0193  0.7598  0.9865  4 Zr 2.17-2.22
O  0.7650  0.2369  0.7338  4 Zr 2.15-2.28
O  0.4994  0.2645  0.5332  4 Zr 2.22-2.35
O  0.7193  0.7130  0.7585  3 Zr 2.15-2.23
O  0.0586  0.5032  0.7977  4 Zr 2.18-2.30
O  0.5403  0.0395  0.2714  4 Zr 2.15-2.32
O  0.2946  0.4997  0.5533  4 Zr 2.21-2.33
O  0.2395  0.2446  0.2637  4 Zr 2.19-2.23

Results
V: 542.9 Å³/cell
energy above the lowest structure with this stoichiometry: 6 meV per atom
formation energy from raw total energies: -2747 meV/atom
M_tot: 0.000 μB per atom



Record 4
A relaxed structure of Th4Ga16Ni3, computed with PBE.

Lattice parameters (Å, degrees): 6.2249 6.2249 11.3276 90.00 90.00 90.00
Last column: nearest neighbours and their distance in Å.
Fractional positions:
Th  0.5000  0.0000  0.8072  12 Ga 3.10-3.13
Th  0.0000  0.5000  0.1928  12 Ga 3.10-3.13
Th  0.0000  0.5000  0.8072  12 Ga 3.10-3.13
Th  0.5000  0.0000  0.1928  12 Ga 3.10-3.13
Ga  0.0000  0.0000  0.7741  1 Ni 2.56
Ga  0.2825  0.2825  0.0000  1 Ni 2.49, 2 Ga 2.71
Ga  0.5000  0.5000  0.8013  8 Ga 2.96-3.03, 4 Th 3.11
Ga  0.7175  0.2825  0.0000  1 Ni 2.49, 2 Ga 2.71
Ga  0.5000  0.5000  0.1987  8 Ga 2.96-3.03, 4 Th 3.11
Ga  0.7175  0.7175  0.0000  1 Ni 2.49, 2 Ga 2.71
Ga  0.0000  0.0000  0.2259  1 Ni 2.56
Ga  0.7470  0.7470  0.6144  2 Ni 2.55, 1 Ga 2.59
Ga  0.7470  0.2530  0.3856  2 Ni 2.55, 1 Ga 2.59
Ga  0.2530  0.2530  0.6144  2 Ni 2.55, 1 Ga 2.59
Ga  0.2530  0.7470  0.3856  2 Ni 2.55, 1 Ga 2.59
Ga  0.2825  0.7175  0.0000  1 Ni 2.49, 2 Ga 2.71
Ga  0.7470  0.7470  0.3856  2 Ni 2.55, 1 Ga 2.59
Ga  0.7470  0.2530  0.6144  2 Ni 2.55, 1 Ga 2.59
Ga  0.2530  0.2530  0.3856  2 Ni 2.55, 1 Ga 2.59
Ga  0.2530  0.7470  0.6144  2 Ni 2.55, 1 Ga 2.59
Ni  0.0000  0.5000  0.5000  8 Ga 2.55
Ni  0.0000  0.0000  0.0000  6 Ga 2.49-2.56
Ni  0.5000  0.0000  0.5000  8 Ga 2.55

Results
V: 438.9 Å³/cell
energy of formation from the pure elements: -0.470 eV per atom
M_tot: 0.000 μB per atom



Record 5
A relaxed structure of CrHgIr2, computed with PBE.

Lattice parameters (Å, degrees): 4.2796 2.8479 5.4752 73.67 90.00 90.00
Last column: nearest neighbours and their distance in Å.
Fractional positions:
Cr  0.5000  0.2500  0.2500  4 Ir 2.57, 2 Hg 2.71, 2 Cr 2.85
Hg  0.5000  0.7500  0.7500  2 Cr 2.71, 2 Hg 2.85, 8 Ir 2.94-2.95
Ir  0.0000  0.0982  0.0252  2 Cr 2.57, 4 Ir 2.69-2.85
Ir  0.0000  0.4018  0.4748  2 Cr 2.57, 4 Ir 2.69-2.85

Results
V: 64.0 Å³/cell
energy of formation from the pure elements: 0.396 eV per atom
M_tot: 0.755 μB per atom



Record 6
A relaxed structure of La8Ga3AgI4, computed with PBE.

Lattice parameters (Å, degrees): 9.0689 9.1821 9.0700 119.59 120.00 90.00
Last column: nearest neighbours and their distance in Å.
Fractional positions:
La  0.2448  0.7195  0.9746  2 Ga 3.06-3.07, 1 Ag 3.16, 3 I 3.31-3.40
La  0.2448  0.7195  0.4897  2 Ga 3.06, 1 Ag 3.17, 3 I 3.31-3.40
La  0.2619  0.2857  0.5238  3 Ga 3.08, 3 I 3.39
La  0.7298  0.7195  0.9746  2 Ga 3.06-3.07, 1 Ag 3.16, 3 I 3.31-3.40
La  0.2702  0.2805  0.0254  2 Ga 3.06-3.07, 1 Ag 3.16, 3 I 3.31-3.40
La  0.7381  0.7143  0.4762  3 Ga 3.08, 3 I 3.39
La  0.7552  0.2805  0.5103  2 Ga 3.06, 1 Ag 3.17, 3 I 3.31-3.40
La  0.7552  0.2805  0.0254  2 Ga 3.06-3.07, 1 Ag 3.16, 3 I 3.31-3.40
Ga  0.5000  0.5000  0.0000  6 La 3.06-3.08
Ga  0.5000  0.5000  0.5000  6 La 3.06-3.08
Ga  0.0000  0.5000  0.5000  6 La 3.06-3.08
Ag  0.0000  0.5000  0.0000  6 La 3.16-3.17
I  0.5000  0.0000  0.0000  6 La 3.31
I  0.5000  0.0000  0.5000  6 La 3.39-3.40
I  0.0000  0.0000  0.0000  6 La 3.39-3.40
I  0.0000  0.0000  0.5000  6 La 3.39-3.40

Results
V: 537.4 Å³/cell
formation energy from raw total energies: -761 meV/atom
M_tot: 0.000 μB per atom



Record 7
A relaxed structure of Ta2NiPb, computed with PBE.

Lattice parameters (Å, degrees): 6.4415 5.0109 3.0577 89.80 62.01 119.97
Last column: nearest neighbours and their distance in Å.
Fractional positions:
Ni  0.0000  0.5000  0.5000  2 Pb 2.84, 8 Ta 2.93-2.94, 2 Ni 3.06
Pb  0.5000  0.5000  0.0000  2 Ni 2.84, 8 Ta 2.93-2.94, 2 Pb 3.06
Ta  0.0000  0.0000  0.0000  4 Ta 2.84-3.06, 4 Pb 2.93-2.94, 4 Ni 2.93-2.94
Ta  0.5000  0.0000  0.5000  4 Ta 2.84-3.06, 4 Ni 2.93-2.94, 4 Pb 2.93-2.94

Results
V: 71.8 Å³/cell
energy of formation from the pure elements: 0.431 eV per atom
M_tot: 0.000 μB per atom



Record 8
A relaxed structure of RbGeSb2, computed with PBE.

Lattice parameters (Å, degrees): 6.7591 8.7005 10.4421 90.00 99.26 90.00
Last column: nearest neighbours and their distance in Å.
Fractional positions:
Rb  0.2486  0.3941  0.1158  6 Sb 3.58-3.99
Rb  0.2514  0.8941  0.8842  6 Sb 3.58-3.99
Rb  0.7486  0.1059  0.1158  6 Sb 3.58-3.99
Rb  0.7514  0.6059  0.8842  6 Sb 3.58-3.99
Ge  0.5889  0.0921  0.6416  4 Sb 2.69-2.82
Ge  0.0889  0.4079  0.6416  4 Sb 2.69-2.82
Ge  0.4111  0.9079  0.3584  4 Sb 2.69-2.82
Ge  0.9111  0.5921  0.3584  4 Sb 2.69-2.82
Sb  0.5883  0.7234  0.2015  2 Ge 2.71-2.76
Sb  0.0883  0.7766  0.2015  2 Ge 2.71-2.76
Sb  0.0139  0.2804  0.4042  2 Ge 2.69-2.82
Sb  0.9117  0.2234  0.7985  2 Ge 2.71-2.76
Sb  0.9861  0.7196  0.5958  2 Ge 2.69-2.82
Sb  0.4861  0.7804  0.5958  2 Ge 2.69-2.82
Sb  0.4117  0.2766  0.7985  2 Ge 2.71-2.76
Sb  0.5139  0.2196  0.4042  2 Ge 2.69-2.82

Results
V: 606.1 Å³/cell
formation energy from raw total energies: -45 meV/atom
M_tot: 0.000 μB per atom



Number 8 is which compound? RbGeSb2



Which of these has the highest V? RbGeSb2